A plane-wave DFT calculation with PBE+U was carried out for a geometry-optimized Al7CrBi4O18 structure. Values from VASP.

Summary:
Total energy   -6.9676 eV per atom

```
&SYSTEM
  ibrav = 0, nat = 30, ntyp = 4
/
ATOMIC_SPECIES
Bi 208.98 Bi.upf
Al 26.98 Al.upf
O 16.00 O.upf
Cr 52.00 Cr.upf
CELL_PARAMETERS angstrom
5.818 0.000 0.000
0.000 7.806 -0.003
0.000 0.015 8.275
ATOMIC_POSITIONS crystal
Bi 0.996 0.674 0.170
Al 0.738 0.000 0.000
O 0.989 0.649 0.435
O 0.512 0.358 0.588
O 0.250 0.625 0.717
O 0.252 0.123 0.792
O 0.999 0.856 0.937
Al 0.501 0.855 0.338
Bi 0.999 0.829 0.672
Al 0.501 0.145 0.662
O 0.252 0.877 0.208
Bi 0.996 0.326 0.830
Cr 0.258 0.500 0.500
O 0.500 0.861 0.917
Al 0.262 0.000 0.000
Al 0.503 0.648 0.841
O 0.999 0.144 0.063
O 0.500 0.139 0.083
O 0.514 0.500 0.000
O 0.989 0.351 0.565
Al 0.739 0.500 0.500
O 0.748 0.375 0.292
O 0.497 0.000 0.500
Al 0.503 0.352 0.159
O 0.512 0.642 0.412
O 0.748 0.881 0.208
Bi 0.999 0.171 0.328
O 0.748 0.119 0.792
O 0.250 0.375 0.283
O 0.748 0.625 0.708
```